# 1
KBaLa2 | PBEsol | optimized geometry

The structure in POSCAR format:
```
KBaLa2
1.0
0.0000 4.4400 4.4400
4.4400 0.0000 4.4400
4.4400 4.4400 0.0000
K Ba La
1 1 2
direct
0.0000 0.0000 0.0000
0.7500 0.7500 0.7500
0.2500 0.2500 0.2500
0.5000 0.5000 0.5000
```

Values from the calculation:
**Calculated formation energy**: 0.449 eV/atom
**SG**: F-43m (216)
**Energy above the most stable polymorph in this dataset**: 153.5 meV per atom

---

# 2
Mn3Cr | PBEsol | optimized geometry

The structure in POSCAR format:
```
Mn3Cr
1.0
3.9144 2.2600 0.8013
-3.9144 2.2600 0.8013
0.0000 -4.5199 0.8013
Mn Cr
3 1
direct
0.0000 0.5000 0.5000
0.5000 0.0000 0.5000
0.5000 0.5000 0.0000
0.0000 0.0000 0.0000
```

Values from the calculation:
**Calculated formation energy**: 0.118 eV/atom
**SG**: R-3m (166)

---

# 3
HfTiMn2Se | PBEsol | optimized geometry

The structure in POSCAR format:
```
HfTiMn2Se
1.0
4.5723 0.0000 0.0000
0.0000 4.5723 0.0000
0.0000 0.0000 4.9631
Hf Ti Mn Se
1 1 2 1
direct
0.0000 0.0000 0.0000
0.0000 0.0000 0.5000
0.0000 0.5000 0.0000
0.5000 0.0000 0.0000
0.5000 0.5000 0.5000
```

Values from the calculation:
**SG**: P4/mmm (123)

---

# 4
NiP2Se | PBEsol | optimized geometry

The structure in POSCAR format:
```
NiP2Se
1.0
-1.3222 2.2454 4.9722
1.3222 -2.2454 4.9722
1.3222 2.2454 -4.9722
Ni P Se
1 2 1
direct
0.0000 0.0000 0.0000
0.1946 0.6946 0.5000
0.8054 0.3054 0.5000
0.5000 0.5000 0.0000
```

Values from the calculation:
**SG**: Immm (71)

---

# 5
Ba2SrTiO | PBEsol | optimized geometry

The structure in POSCAR format:
```
Ba2SrTiO
1.0
5.5467 0.0000 0.0000
0.0000 5.5467 0.0000
0.0000 0.0000 5.0228
Ba Sr Ti O
2 1 1 1
direct
0.0000 0.5000 0.0000
0.5000 0.0000 0.0000
0.0000 0.0000 0.5000
0.5000 0.5000 0.5000
0.0000 0.0000 0.0000
```

Values from the calculation:
**SG**: P4/mmm (123)

---

# 6
CaFe2As2 | PBEsol | optimized geometry

The structure in POSCAR format:
```
CaFe2As2
1.0
-2.1726 2.1726 4.2766
2.1726 -2.1726 4.2766
2.1726 2.1726 -4.2766
Ca Fe As
1 2 2
direct
0.0000 0.0000 0.0000
0.3730 0.3730 0.0000
0.6270 0.6270 0.0000
0.2500 0.7500 0.5000
0.7500 0.2500 0.5000
```

Values from the calculation:
**Calculated formation energy**: -0.285 eV/atom
**SG**: I4/mmm (139)

---

# 7
AlBiW3 | PBEsol | optimized geometry

The structure in POSCAR format:
```
AlBiW3
1.0
4.6005 0.0000 0.0000
0.0000 4.6005 0.0000
0.0000 0.0000 4.6005
Al Bi W
1 1 3
direct
0.0000 0.0000 0.0000
0.5000 0.5000 0.5000
0.0000 0.0000 0.5000
0.0000 0.5000 0.0000
0.5000 0.0000 0.0000
```

Values from the calculation:
**Calculated formation energy**: 1.947 eV/atom
**SG**: Pm-3m (221)

---

# 8
AlWN3 | PBEsol | optimized geometry

The structure in POSCAR format:
```
AlWN3
1.0
3.9222 0.0000 0.0000
0.0000 3.9222 0.0000
0.0000 0.0000 3.9222
Al W N
1 1 3
direct
0.0000 0.0000 0.0000
0.5000 0.5000 0.5000
0.0000 0.5000 0.5000
0.5000 0.0000 0.5000
0.5000 0.5000 0.0000
```

Values from the calculation:
**SG**: Pm-3m (221)

---

# 9
NiBrCl2 | PBEsol | optimized geometry

The structure in POSCAR format:
```
NiBrCl2
1.0
-1.5604 3.3238 4.4941
1.5604 -3.3238 4.4941
1.5604 3.3238 -4.4941
Ni Br Cl
1 1 2
direct
0.0000 0.0000 0.0000
0.1815 0.6815 0.5000
0.4959 0.4959 0.0000
0.8363 0.3363 0.5000
```

Values from the calculation:
**SG**: Imm2 (44)
**Energy above the most stable polymorph in this dataset**: 156.8 meV per atom

---

# 10
AgSnTeI2 | PBEsol | optimized geometry

The structure in POSCAR format:
```
AgSnTeI2
1.0
5.4327 0.0000 0.0000
0.0000 5.4327 0.0000
0.0000 0.0000 5.5144
Ag Sn Te I
1 1 1 2
direct
0.0000 0.0000 0.0000
0.5000 0.5000 0.5000
0.0000 0.0000 0.5000
0.0000 0.5000 0.0000
0.5000 0.0000 0.0000
```

Values from the calculation:
**SG**: P4/mmm (123)

---

# 11
NaLiAl2 | PBEsol | optimized geometry

The structure in POSCAR format:
```
NaLiAl2
1.0
0.0000 3.3615 3.3615
3.3615 0.0000 3.3615
3.3615 3.3615 0.0000
Na Li Al
1 1 2
direct
0.0000 0.0000 0.0000
0.5000 0.5000 0.5000
0.2500 0.2500 0.2500
0.7500 0.7500 0.7500
```

Values from the calculation:
**Calculated formation energy**: 0.201 eV/atom
**SG**: Fm-3m (225)

---

# 12
Nb3AgIr | PBEsol | optimized geometry

The structure in POSCAR format:
```
Nb3AgIr
1.0
4.7439 0.0000 0.0000
0.0000 4.7439 0.0000
0.0000 0.0000 4.7439
Nb Ag Ir
3 1 1
direct
0.0000 0.0000 0.5000
0.0000 0.5000 0.0000
0.5000 0.0000 0.0000
0.0000 0.0000 0.0000
0.5000 0.5000 0.5000
```

Values from the calculation:
**Calculated formation energy**: 2.105 eV/atom
**SG**: Pm-3m (221)

---

# 13
LiBe2Cr | PBEsol | optimized geometry

The structure in POSCAR format:
```
LiBe2Cr
1.0
0.0000 2.7390 2.7390
2.7390 0.0000 2.7390
2.7390 2.7390 0.0000
Li Be Cr
1 2 1
direct
0.0000 0.0000 0.0000
0.2500 0.2500 0.2500
0.7500 0.7500 0.7500
0.5000 0.5000 0.5000
```

Values from the calculation:
**Calculated formation energy**: 0.347 eV/atom
**SG**: Fm-3m (225)
**Energy above the most stable polymorph in this dataset**: 85.5 meV per atom

---

# 14
TlTe2Au | PBEsol | optimized geometry

The structure in POSCAR format:
```
TlTe2Au
1.0
2.0915 1.2075 7.1014
-2.0915 1.2075 7.1014
0.0000 -2.4150 7.1014
Tl Te Au
1 2 1
direct
0.0000 0.0000 0.0000
0.2367 0.2367 0.2367
0.7633 0.7633 0.7633
0.5000 0.5000 0.5000
```

Values from the calculation:
**SG**: R-3m (166)

---

# 15
Cr2MoW | PBEsol | optimized geometry

The structure in POSCAR format:
```
Cr2MoW
1.0
1.4284 0.8247 7.8260
-1.4284 0.8247 7.8260
0.0000 -1.6494 7.8260
Cr Mo W
2 1 1
direct
0.2492 0.2492 0.2492
0.7508 0.7508 0.7508
0.5000 0.5000 0.5000
0.0000 0.0000 0.0000
```

Values from the calculation:
**Calculated formation energy**: 0.458 eV/atom
**SG**: R-3m (166)

---

# 16
HoTaO4 | PBEsol | optimized geometry

The structure in POSCAR format:
```
HoTaO4
1.0
3.5503 0.0000 0.0000
0.0000 3.5503 0.0000
0.0000 0.0000 5.1965
Ho Ta O
1 1 4
direct
0.0000 0.0000 0.0000
0.5000 0.5000 0.5000
0.0000 0.5000 0.2729
0.0000 0.5000 0.7271
0.5000 0.0000 0.2729
0.5000 0.0000 0.7271
```

Values from the calculation:
**SG**: P4/mmm (123)

---

# 17
TiMnN2 | PBEsol | optimized geometry

The structure in POSCAR format:
```
TiMnN2
1.0
2.8620 0.0000 0.0000
-1.4310 2.4785 0.0000
0.0000 0.0000 5.0112
Ti Mn N
1 1 2
direct
0.0000 0.0000 0.0000
0.0000 0.0000 0.5000
0.3333 0.6667 0.2650
0.6667 0.3333 0.7350
```

Values from the calculation:
**SG**: P-3m1 (164)

---

# 18
Ca2TlGa | PBEsol | optimized geometry

The structure in POSCAR format:
```
Ca2TlGa
1.0
0.0000 3.7160 3.7160
3.7160 0.0000 3.7160
3.7160 3.7160 0.0000
Ca Tl Ga
2 1 1
direct
0.2500 0.2500 0.2500
0.7500 0.7500 0.7500
0.0000 0.0000 0.0000
0.5000 0.5000 0.5000
```

Values from the calculation:
**Calculated formation energy**: -0.463 eV/atom
**SG**: Fm-3m (225)

---

# 19
BaScW2 | PBEsol | optimized geometry

The structure in POSCAR format:
```
BaScW2
1.0
0.0000 3.4379 3.4379
3.4379 0.0000 3.4379
3.4379 3.4379 0.0000
Ba Sc W
1 1 2
direct
0.0000 0.0000 0.0000
0.2500 0.2500 0.2500
0.5000 0.5000 0.5000
0.7500 0.7500 0.7500
```

Values from the calculation:
**Calculated formation energy**: 1.189 eV/atom
**SG**: F-43m (216)
**Energy above the most stable polymorph in this dataset**: 680.2 meV per atom

---

# 20
FeTeOsN2 | PBEsol | optimized geometry

The structure in POSCAR format:
```
FeTeOsN2
1.0
3.7588 0.0000 0.0000
0.0000 3.7588 0.0000
0.0000 0.0000 5.7484
Fe Te Os N
1 1 1 2
direct
0.0000 0.0000 0.0000
0.5000 0.5000 0.0000
0.5000 0.5000 0.5000
0.0000 0.5000 0.5000
0.5000 0.0000 0.5000
```

Values from the calculation:
**SG**: P4/mmm (123)
**Energy above the most stable polymorph in this dataset**: 0.0 meV per atom

---

# 21
CaSe2O | PBEsol | optimized geometry

The structure in POSCAR format:
```
CaSe2O
1.0
-2.8842 2.8842 5.6391
2.8842 -2.8842 5.6391
2.8842 2.8842 -5.6391
Ca Se O
2 4 2
direct
0.0000 0.0000 0.0000
0.7500 0.2500 0.5000
0.2720 0.6250 0.1470
0.3750 0.5220 0.6470
0.4780 0.1250 0.8530
0.8750 0.7280 0.3530
0.2500 0.7500 0.5000
0.5000 0.5000 0.0000
```

Values from the calculation:
**SG**: I-42d (122)

---

# 22
CeHfO4 | PBEsol | optimized geometry

The structure in POSCAR format:
```
CeHfO4
1.0
-2.6156 2.6156 5.2892
2.6156 -2.6156 5.2892
2.6156 2.6156 -5.2892
Ce Hf O
2 2 8
direct
0.3750 0.1250 0.2500
0.6250 0.8750 0.7500
0.1250 0.3750 0.7500
0.8750 0.6250 0.2500
0.0085 0.7209 0.7656
0.2209 0.9552 0.7124
0.2571 0.4915 0.2124
0.4552 0.2429 0.7344
0.5448 0.7571 0.2656
0.7429 0.5085 0.7876
0.7791 0.0448 0.2876
0.9915 0.2791 0.2344
```

Values from the calculation:
**SG**: I4_1/a (88)

---

# 23
CrHgPt | PBEsol | optimized geometry

The structure in POSCAR format:
```
CrHgPt
1.0
2.8190 0.0000 0.0000
-1.4095 2.4413 0.0000
0.0000 0.0000 6.7697
Cr Hg Pt
1 1 1
direct
0.0000 0.0000 0.0000
0.6667 0.3333 0.6584
0.3333 0.6667 0.2882
```

Values from the calculation:
**Calculated formation energy**: 0.294 eV/atom
**SG**: P3m1 (156)

---

# 24
Co6NiIr | PBEsol | optimized geometry

The structure in POSCAR format:
```
Co6NiIr
1.0
3.5121 -4.9757 0.0000
3.5121 4.9757 0.0000
0.0000 0.0000 9.9398
Co Ni Ir
24 4 4
direct
0.0000 0.0000 0.0000
0.0000 0.0000 0.5000
0.1186 0.3723 0.1220
0.1186 0.3723 0.8780
0.1224 0.3692 0.3722
0.1224 0.3692 0.6278
0.2470 0.7530 0.2452
0.2470 0.7530 0.7548
0.3692 0.1224 0.3722
0.3692 0.1224 0.6278
0.3723 0.1186 0.1220
0.3723 0.1186 0.8780
0.5000 0.5000 0.0000
0.5000 0.5000 0.5000
0.6277 0.8814 0.1220
0.6277 0.8814 0.8780
0.6308 0.8776 0.3722
0.6308 0.8776 0.6278
0.7530 0.2470 0.2452
0.7530 0.2470 0.7548
0.8776 0.6308 0.3722
0.8776 0.6308 0.6278
0.8814 0.6277 0.1220
0.8814 0.6277 0.8780
0.0000 0.0000 0.2468
0.0000 0.0000 0.7532
0.2519 0.7481 0.0000
0.7481 0.2519 0.0000
0.2510 0.7490 0.5000
0.5000 0.5000 0.2478
0.5000 0.5000 0.7522
0.7490 0.2510 0.5000
```

Values from the calculation:
**Calculated formation energy**: 0.036 eV/atom
**SG**: Cmmm (65)

---

# 25
Ta2SbAs | PBEsol | optimized geometry

The structure in POSCAR format:
```
Ta2SbAs
1.0
4.7379 -1.6809 0.0000
4.7379 1.6809 0.0000
-1.1879 0.0000 4.5577
Ta Sb As
2 1 1
direct
0.0000 0.0000 0.0000
0.2202 0.2202 0.6286
0.4827 0.4827 0.4859
0.7250 0.7250 0.1093
```

Values from the calculation:
**SG**: Cm (8)

---

# 26
BaSiS2 | PBEsol | optimized geometry

The structure in POSCAR format:
```
BaSiS2
1.0
2.3369 1.3492 7.6298
-2.3369 1.3492 7.6298
0.0000 -2.6984 7.6298
Ba Si S
1 1 2
direct
0.0000 0.0000 0.0000
0.5000 0.5000 0.5000
0.4023 0.4023 0.4023
0.5977 0.5977 0.5977
```

Values from the calculation:
**SG**: R-3m (166)

---

# 27
CuTcS2N | PBEsol | optimized geometry

The structure in POSCAR format:
```
CuTcS2N
1.0
4.5648 0.0000 0.0000
0.0000 4.5648 0.0000
0.0000 0.0000 3.4436
Cu Tc S N
1 1 2 1
direct
0.0000 0.0000 0.0000
0.5000 0.5000 0.5000
0.0000 0.5000 0.0000
0.5000 0.0000 0.0000
0.0000 0.0000 0.5000
```

Values from the calculation:
**SG**: P4/mmm (123)

---

Number 1: E -3.045 eV/atom. Number 2: E -9.764 eV/atom. Number 3: E -7.014 eV/atom. Number 4: E -5.204 eV/atom. Number 5: E -4.524 eV/atom. Number 6: E -6.339 eV/atom. Number 7: E -8.013 eV/atom. Number 8: E -8.340 eV/atom. Number 9: E -3.130 eV/atom. Number 10: E -2.747 eV/atom. Number 11: E -2.686 eV/atom. Number 12: E -7.014 eV/atom. Number 13: E -4.705 eV/atom. Number 14: E -3.501 eV/atom. Number 15: E -11.057 eV/atom. Number 16: E -9.519 eV/atom. Number 17: E -9.806 eV/atom. Number 18: E -3.022 eV/atom. Number 19: E -7.903 eV/atom. Number 20: E -7.521 eV/atom. Number 21: E -4.336 eV/atom. Number 22: E -9.823 eV/atom. Number 23: E -5.630 eV/atom. Number 24: E -7.764 eV/atom. Number 25: E -8.842 eV/atom. Number 26: E -4.722 eV/atom. Number 27: E -5.368 eV/atom.